An optimized crystal structure of NdAl2Sn. Source: the Alexandria database, functional PBE-GGA.

## Properties
total magnetic moment: 0.00 μB per cell
energy of formation from the pure elements: 309 meV/atom
raw total energy: -0.2760 Ry per atom

Cell and atoms, written as POSCAR:
```
NdAl2Sn
1.0
-3.0943 0.8569 1.0529
-1.0951 -1.0164 3.0307
2.5585 8.8174 5.7651
Al Nd Sn
2 1 1
direct
0.9036 0.9036 0.2892 Al
0.0964 0.0964 0.7108 Al
0.0000 0.0000 0.0000 Nd
0.5000 0.5000 0.5000 Sn
```


An optimized crystal structure of NdAlSn. Source: the Alexandria database, functional PBE-GGA.

## Properties
total magnetic moment: 0.00 μB per cell
energy of formation from the pure elements: -161 meV/atom
raw total energy: -0.3184 Ry per atom

Cell and atoms, written as POSCAR:
```
NdAlSn
1.0
7.8494 -0.4606 0.0000
-3.4051 7.0874 0.0000
-2.2222 -3.3134 6.2394
Al Nd Sn
4 4 4
direct
0.1510 0.8490 0.0000 Al
0.8490 0.1510 0.0000 Al
0.4010 0.5990 0.5000 Al
0.0990 0.9010 0.5000 Al
0.6250 0.3750 0.2500 Nd
0.1250 0.3750 0.7500 Nd
0.6250 0.8750 0.2500 Nd
0.6250 0.3750 0.7500 Nd
0.8475 0.8475 0.6951 Sn
0.4025 0.9025 0.8049 Sn
0.1525 0.1525 0.3049 Sn
0.0975 0.5975 0.1951 Sn
```


An optimized crystal structure of Nd4AlSn. Source: the Alexandria database, functional PBE-GGA.

## Properties
total magnetic moment: 0.00 μB per cell
energy of formation from the pure elements: -208 meV/atom
raw total energy: -0.3438 Ry per atom

Cell and atoms, written as POSCAR:
```
Nd4AlSn
1.0
-3.9838 -4.1840 0.3358
1.7358 -2.1230 -5.8609
9.1754 -4.3886 4.3071
Nd Al Sn
8 2 2
direct
0.2937 0.0703 0.5874 Nd
0.4391 0.8222 0.8781 Nd
0.8911 0.3222 0.7822 Nd
0.1089 0.8222 0.2178 Nd
0.7063 0.0741 0.4126 Nd
0.7063 0.5703 0.4126 Nd
0.2937 0.5741 0.5874 Nd
0.5609 0.3222 0.1219 Nd
0.4205 0.3223 0.8411 Al
0.5795 0.8223 0.1589 Al
0.8470 0.8222 0.6940 Sn
0.1530 0.3222 0.3060 Sn
```